Record 1
This record from Alexandria describes crystalline SrCoPd2 at its relaxed geometry. The functional is GGA-PBEsol.

The raw total energy comes out at -20.65 eV/f.u. For the mass density, the calculation gives 8.4 g cm⁻³. The value obtained for the total magnetization is 1.911 μB per formula unit. For the formation energy, the calculation gives 211 meV/atom. The volume comes out at 17.67 Å³ per atom.

It has space group Fm-3m (No. 225), with a = 6.564 Å, b = 6.564 Å, c = 6.564 Å, α = 90.00°, β = 90.00° and γ = 90.00°. The inequivalent atoms are Sr at (0.000, 0.000, 0.000), Co at (0.000, 0.000, 0.500) and Pd at (0.250, 0.250, 0.250).

***

Record 2
This record from Alexandria describes crystalline Fe2ReBr at its relaxed geometry. The functional is GGA-PBEsol.

The raw total energy comes out at -30.91 eV/f.u. The polymorph energy (0 for the lowest one) is 0.000 eV/f.u. As for the formation energy without anion corrections: 214 kJ/mol of formula units. For the mass density, the calculation gives 11.5 g cm⁻³. The value obtained for the total magnetization is 3.600 μB per formula unit. The volume comes out at 13.61 Å³ per atom.

It has space group P4/mmm (No. 123), with a = 2.864 Å, b = 2.864 Å, c = 6.637 Å, α = 90.00°, β = 90.00° and γ = 90.00°. The inequivalent atoms are Fe at (0.000, 0.000, 0.240), Re at (0.500, 0.500, 0.000) and Br at (0.500, 0.500, 0.500).

***

Record 3
This record from Alexandria describes crystalline Hf4Ni3As8 at its relaxed geometry. The functional is GGA-PBEsol.

The raw total energy comes out at -112.40 eV/f.u. For the mass density, the calculation gives 10.1 g cm⁻³. The value obtained for the total magnetization is 0.000 μB per formula unit. For the formation energy, the calculation gives -738 meV/atom. The volume comes out at 16.33 Å³ per atom.

It has space group P-4m2 (No. 115), with a = 3.782 Å, b = 3.782 Å, c = 17.122 Å, α = 90.00°, β = 90.00° and γ = 90.00°. The inequivalent atoms are Hf at (0.000, 0.500, 0.123), Hf at (0.000, 0.500, 0.632), Ni at (0.000, 0.000, 0.000), Ni at (0.000, 0.000, 0.500), Ni at (0.500, 0.500, 0.500), As at (0.000, 0.000, 0.245), As at (0.000, 0.500, 0.417), As at (0.000, 0.500, 0.927) and As at (0.500, 0.500, 0.245).

***

Record 4
This record from Alexandria describes crystalline BeReAu2 at its relaxed geometry. The functional is GGA-PBEsol.

The raw total energy comes out at -22.91 eV/f.u. For the mass density, the calculation gives 16.7 g cm⁻³. The value obtained for the total magnetization is 0.001 μB per formula unit. For the formation energy, the calculation gives 567 meV/atom. The volume comes out at 14.65 Å³ per atom.

It has space group I4/mmm (No. 139), with a = 3.931 Å, b = 3.931 Å, c = 7.584 Å, α = 90.00°, β = 90.00° and γ = 90.00°. The inequivalent atoms are Be at (0.000, 0.000, 0.000), Re at (0.000, 0.000, 0.500) and Au at (0.000, 0.500, 0.250).

***

Record 5
This record from Alexandria describes crystalline LaCo2O at its relaxed geometry. The functional is GGA-PBEsol.

The raw total energy comes out at -28.38 eV/f.u. As for the formation energy without anion corrections: -223 kJ/mol of formula units. For the mass density, the calculation gives 7.6 g cm⁻³. The value obtained for the total magnetization is 0.000 μB per formula unit. The volume comes out at 14.90 Å³ per atom.

It has space group I-42d (No. 122), with a = 4.429 Å, b = 4.429 Å, c = 12.152 Å, α = 90.00°, β = 90.00° and γ = 90.00°. The inequivalent atoms are La at (0.000, 0.000, 0.000), Co at (0.042, 0.750, 0.625) and O at (0.000, 0.000, 0.500).

***

Record 6
This record from Alexandria describes crystalline TlSiPb2 at its relaxed geometry. The functional is GGA-PBEsol.

The raw total energy comes out at -15.14 eV/f.u. As for the formation energy without anion corrections: 119 kJ/mol of formula units. For the mass density, the calculation gives 10.4 g cm⁻³. The value obtained for the total magnetization is 0.000 μB per formula unit. The volume comes out at 25.92 Å³ per atom.

It has space group P4/mmm (No. 123), with a = 4.923 Å, b = 4.923 Å, c = 4.277 Å, α = 90.00°, β = 90.00° and γ = 90.00°. The inequivalent atoms are Tl at (0.000, 0.000, 0.000), Si at (0.500, 0.500, 0.000) and Pb at (0.000, 0.500, 0.500).

***

Record 7
This record from Alexandria describes crystalline CuNi2Os at its relaxed geometry. The functional is GGA-PBEsol.

The raw total energy comes out at -28.57 eV/f.u. The polymorph energy (0 for the lowest one) is 0.000 eV/f.u. For the mass density, the calculation gives 13.3 g cm⁻³. The value obtained for the total magnetization is 0.001 μB per formula unit. For the formation energy, the calculation gives 74 meV/atom. The volume comes out at 11.54 Å³ per atom.

It has space group P4/mmm (No. 123), with a = 2.593 Å, b = 2.593 Å, c = 6.864 Å, α = 90.00°, β = 90.00° and γ = 90.00°. The inequivalent atoms are Cu at (0.000, 0.000, 0.000), Ni at (0.500, 0.500, 0.244) and Os at (0.000, 0.000, 0.500).

***

Record 8
This record from Alexandria describes crystalline ZrTlRu at its relaxed geometry. The functional is GGA-PBEsol.

The raw total energy comes out at -22.15 eV/f.u. For the mass density, the calculation gives 11.6 g cm⁻³. The value obtained for the total magnetization is 0.000 μB per formula unit. For the formation energy, the calculation gives -85 meV/atom. The volume comes out at 18.87 Å³ per atom.

It has space group I4mm (No. 107), with a = 3.206 Å, b = 3.206 Å, c = 11.012 Å, α = 90.00°, β = 90.00° and γ = 90.00°. The inequivalent atoms are Zr at (0.000, 0.000, 0.000), Tl at (0.000, 0.000, 0.701) and Ru at (0.000, 0.000, 0.363).